[1]
VASP calculation (GGA-PBE) on crystalline Nb3GaI at its relaxed geometry.

For the relative energy among the computed polymorphs, the calculation gives 382 meV per atom. The calculation puts the energy relative to the elements, uncorrected at 1.63 eV/atom. Its energy is -5.33 eV/atom. As for the space group: No. 221.

a b c (Å): 5.0072 5.0072 5.0072
angles (deg): 90.00 90.00 90.00
Closest atoms and distances in Å follow each position.
Atoms (fractional coordinates):
Nb (0.5000, 0.0000, 0.0000)  2 I 2.50
Nb (0.0000, 0.0000, 0.5000)  2 I 2.50
Nb (0.0000, 0.5000, 0.0000)  2 I 2.50
I (0.0000, 0.0000, 0.0000)  6 Nb 2.50
Ga (0.5000, 0.5000, 0.5000)  12 Nb 3.54

[2]
VASP calculation (GGA-PBE) on crystalline ThVNi4 at its relaxed geometry.

Its energy is -6.81 eV/atom. As for the space group: No. 216. Its formation energy is -197 meV per atom.

a b c (Å): 4.9776 4.9776 4.9776
angles (deg): 60.00 60.00 60.00
Closest atoms and distances in Å follow each position.
Atoms (fractional coordinates):
Ni (0.1307, 0.6231, 0.6231)  6 Ni 2.45-2.53
Ni (0.6231, 0.1307, 0.6231)  6 Ni 2.45-2.53
Ni (0.6231, 0.6231, 0.6231)  6 Ni 2.45-2.53
Ni (0.6231, 0.6231, 0.1307)  6 Ni 2.45-2.53
Th (0.0000, 0.0000, 0.0000)  12 Ni 2.92, 4 V 3.05
V (0.2500, 0.2500, 0.2500)  12 Ni 2.91, 4 Th 3.05

[3]
VASP calculation (GGA-PBE) on crystalline NaMnRe3 at its relaxed geometry.

For the relative energy among the computed polymorphs, the calculation gives 1702 meV per atom. Its energy is -6.26 eV/atom. As for the space group: No. 221. Its formation energy is 3310 meV per atom.

a b c (Å): 4.3697 4.3697 4.3697
angles (deg): 90.00 90.00 90.00
Closest atoms and distances in Å follow each position.
Atoms (fractional coordinates):
Re (0.5000, 0.0000, 0.0000)  2 Na 2.18
Re (0.0000, 0.0000, 0.5000)  2 Na 2.18
Re (0.0000, 0.5000, 0.0000)  2 Na 2.18
Mn (0.5000, 0.5000, 0.5000)  12 Re 3.09
Na (0.0000, 0.0000, 0.0000)  6 Re 2.18

[4]
VASP calculation (GGA-PBE) on crystalline YMg2 at its relaxed geometry.

Its energy is -3.28 eV/atom. As for the space group: No. 63. Its formation energy is -58 meV per atom.

a b c (Å): 8.0011 8.0011 5.3395
angles (deg): 90.00 90.00 152.60
Closest atoms and distances in Å follow each position.
Atoms (fractional coordinates):
Mg (0.9788, 0.0212, 0.0000)  6 Mg 3.05-3.28, 2 Y 3.31
Mg (0.4656, 0.5344, 0.5000)  6 Mg 3.05-3.28, 2 Y 3.31
Mg (0.8122, 0.1878, 0.5000)  2 Mg 3.05, 6 Y 3.27-3.28
Mg (0.6323, 0.3677, 0.0000)  2 Mg 3.05, 6 Y 3.27-3.28
Y (0.1404, 0.8596, 0.5000)  10 Mg 3.27-3.67
Y (0.3041, 0.6959, 0.0000)  10 Mg 3.27-3.67

Please write out number 3 again, unchanged.
VASP calculation (GGA-PBE) on crystalline NaMnRe3 at its relaxed geometry.

For the relative energy among the computed polymorphs, the calculation gives 1702 meV per atom. Its energy is -6.26 eV/atom. As for the space group: No. 221. Its formation energy is 3310 meV per atom.

a b c (Å): 4.3697 4.3697 4.3697
angles (deg): 90.00 90.00 90.00
Closest atoms and distances in Å follow each position.
Atoms (fractional coordinates):
Re (0.5000, 0.0000, 0.0000)  2 Na 2.18
Re (0.0000, 0.0000, 0.5000)  2 Na 2.18
Re (0.0000, 0.5000, 0.0000)  2 Na 2.18
Mn (0.5000, 0.5000, 0.5000)  12 Re 3.09
Na (0.0000, 0.0000, 0.0000)  6 Re 2.18

Number 4 is which compound?
YMg2